Record 1
The following is a DFT calculation (PBE-GGA) of crystalline TbNdPu at its relaxed geometry.

Results
DFT formation energy in kJ per mole of atoms: 14
Space group: No. 156

Structure (POSCAR):
```
TbNdPu
1.0
3.5735 0.0000 0.0000
-1.7867 3.0947 0.0000
0.0000 0.0000 8.6281
Tb Nd Pu
1 1 1
direct
0.0000 0.0000 0.0000 Tb
0.6667 0.3333 0.3424 Nd
0.3333 0.6667 0.6754 Pu
```



Record 2
The following is a DFT calculation (PBE-GGA) of crystalline Tb5Nd4Pu at its relaxed geometry.

Results
DFT formation energy in kJ per mole of atoms: 8
Space group: No. 12

Structure (POSCAR):
```
Tb5Nd4Pu
1.0
8.5545 -1.7776 0.0000
8.5545 1.7776 0.0000
-3.7605 0.0000 10.8338
Tb Nd Pu
5 4 1
direct
0.0000 0.0000 0.0000 Tb
0.2906 0.2906 0.3858 Tb
0.3085 0.3085 0.9178 Tb
0.6915 0.6915 0.0822 Tb
0.7094 0.7094 0.6142 Tb
0.1049 0.1049 0.7941 Nd
0.4121 0.4121 0.7022 Nd
0.5879 0.5879 0.2978 Nd
0.8951 0.8951 0.2059 Nd
0.0000 0.0000 0.5000 Pu
```



Record 3
The following is a DFT calculation (PBE-GGA) of crystalline Tb4Nd7Pu at its relaxed geometry.

Results
DFT formation energy in kJ per mole of atoms: 21
Space group: No. 12

Structure (POSCAR):
```
Tb4Nd7Pu
1.0
5.6977 -2.7723 0.0000
5.6977 2.7723 0.0000
-3.6141 0.0000 12.8653
Tb Nd Pu
4 7 1
direct
0.0421 0.0421 0.2777 Tb
0.4106 0.4106 0.8726 Tb
0.5894 0.5894 0.1274 Tb
0.9579 0.9579 0.7223 Tb
0.0000 0.0000 0.5000 Nd
0.1403 0.1403 0.9699 Nd
0.2794 0.2794 0.6036 Nd
0.3361 0.3361 0.2426 Nd
0.6639 0.6639 0.7574 Nd
0.7206 0.7206 0.3964 Nd
0.8597 0.8597 0.0301 Nd
0.5000 0.5000 0.5000 Pu
```



Record 4
The following is a DFT calculation (PBE-GGA) of crystalline Tb4Nd10Pu at its relaxed geometry.

Results
DFT formation energy in kJ per mole of atoms: 33
Space group: No. 87

Structure (POSCAR):
```
Tb4Nd10Pu
1.0
-4.9486 4.9486 5.3075
4.9486 -4.9486 5.3075
4.9486 4.9486 -5.3075
Tb Nd Pu
4 10 1
direct
0.0574 0.3245 0.3819 Tb
0.3245 0.9426 0.2671 Tb
0.6755 0.0574 0.7329 Tb
0.9426 0.6755 0.6181 Tb
0.1311 0.4568 0.9053 Nd
0.2258 0.1311 0.6743 Nd
0.2500 0.7500 0.5000 Nd
0.4485 0.7742 0.9053 Nd
0.4568 0.5515 0.3257 Nd
0.5432 0.4485 0.6743 Nd
0.5515 0.2258 0.0947 Nd
0.7500 0.2500 0.5000 Nd
0.7742 0.8689 0.3257 Nd
0.8689 0.5432 0.0947 Nd
0.0000 0.0000 0.0000 Pu
```



Record 5
The following is a DFT calculation (PBE-GGA) of crystalline Tb2NdPu at its relaxed geometry.

Results
DFT formation energy in kJ per mole of atoms: 26
Space group: No. 166

Structure (POSCAR):
```
Tb2NdPu
1.0
1.7392 1.0041 12.3563
-1.7392 1.0041 12.3563
0.0000 -2.0082 12.3563
Tb Nd Pu
2 1 1
direct
0.0876 0.0876 0.0876 Tb
0.9124 0.9124 0.9124 Tb
0.5000 0.5000 0.5000 Nd
0.0000 0.0000 0.0000 Pu
```



Record 6
The following is a DFT calculation (PBE-GGA) of crystalline Tb12Nd7Pu at its relaxed geometry.

Results
DFT formation energy in kJ per mole of atoms: 63
Space group: No. 229

Structure (POSCAR):
```
Tb12Nd7Pu
1.0
-5.6934 5.6934 5.6934
5.6934 -5.6934 5.6934
5.6934 5.6934 -5.6934
Tb Nd Pu
12 7 1
direct
0.0000 0.2446 0.7554 Tb
0.0000 0.7554 0.2446 Tb
0.2446 0.0000 0.7554 Tb
0.2446 0.2446 0.4891 Tb
0.2446 0.4891 0.2446 Tb
0.2446 0.7554 0.0000 Tb
0.4891 0.2446 0.2446 Tb
0.5109 0.7554 0.7554 Tb
0.7554 0.0000 0.2446 Tb
0.7554 0.2446 0.0000 Tb
0.7554 0.5109 0.7554 Tb
0.7554 0.7554 0.5109 Tb
0.0000 0.0000 0.5000 Nd
0.0000 0.5000 0.0000 Nd
0.0000 0.5000 0.5000 Nd
0.5000 0.0000 0.0000 Nd
0.5000 0.0000 0.5000 Nd
0.5000 0.5000 0.0000 Nd
0.5000 0.5000 0.5000 Nd
0.0000 0.0000 0.0000 Pu
```



Record 7
The following is a DFT calculation (PBE-GGA) of crystalline Tb5Nd6Pu at its relaxed geometry.

Results
DFT formation energy in kJ per mole of atoms: 12
Space group: No. 71

Structure (POSCAR):
```
Tb5Nd6Pu
1.0
-2.9414 3.7376 9.0809
2.9414 -3.7376 9.0809
2.9414 3.7376 -9.0809
Tb Nd Pu
5 6 1
direct
0.0000 0.0000 0.0000 Tb
0.1789 0.6789 0.5000 Tb
0.3150 0.3150 0.0000 Tb
0.6850 0.6850 0.0000 Tb
0.8211 0.3211 0.5000 Tb
0.1108 0.8506 0.2602 Nd
0.2602 0.5000 0.7602 Nd
0.4095 0.1494 0.2602 Nd
0.5905 0.8506 0.7398 Nd
0.7398 0.5000 0.2398 Nd
0.8892 0.1494 0.7398 Nd
0.5000 0.0000 0.5000 Pu
```



Record 8
The following is a DFT calculation (PBE-GGA) of crystalline TbNdPu2Te5 at its relaxed geometry.

Results
E_form (uncorrected) in eV/atom: -0.6964
Space group: No. 123

Structure (POSCAR):
```
TbNdPu2Te5
1.0
5.5461 0.0000 0.0000
0.0000 5.5461 0.0000
0.0000 0.0000 11.7946
Tb Nd Pu Te
1 1 2 5
direct
0.0000 0.0000 0.0000 Tb
0.0000 0.0000 0.5000 Nd
0.5000 0.5000 0.1740 Pu
0.5000 0.5000 0.8260 Pu
0.0000 0.0000 0.2520 Te
0.0000 0.0000 0.7480 Te
0.0000 0.5000 0.0000 Te
0.5000 0.0000 0.0000 Te
0.5000 0.5000 0.5000 Te
```



Number 1: calculated total energy -23.31 eV per formula unit, size of the total moment 6.259 μB per formula unit. Number 2: calculated total energy -55.74 eV per formula unit, size of the total moment 6.177 μB per formula unit. Number 3: calculated total energy -63.61 eV per formula unit, size of the total moment 5.982 μB per formula unit. Number 4: calculated total energy -75.38 eV per formula unit, size of the total moment 5.661 μB per formula unit. Number 5: calculated total energy -27.27 eV per formula unit, size of the total moment 6.441 μB per formula unit. Number 6: calculated total energy -90.14 eV per formula unit, size of the total moment 6.996 μB per formula unit. Number 7: calculated total energy -64.63 eV per formula unit, size of the total moment 6.817 μB per formula unit. Number 8: calculated total energy -60.04 eV per formula unit, size of the total moment 11.937 μB per formula unit.